Record 1
Compound: Cs3Cu2Cl4
Source: Alexandria via LeMat-Bulk
Functional: PBE
Structure: optimized geometry

Unit cell a=9.2447 b=9.0743 c=9.0743 alpha=62.20 beta=84.36 gamma=84.36
Last column: magnetic moment on the atom in μB.
Sites, in units of the cell vectors:
Cs  0.8324  0.0706  0.2393  0.01
Cs  0.6676  0.7607  0.9294  0.01
Cs  0.1676  0.9294  0.7607  0.01
Cs  0.3324  0.2393  0.0706  0.01
Cs  0.2500  0.5319  0.4681  0.00
Cs  0.7500  0.4681  0.5319  0.00
Cu  0.5096  0.1334  0.4997  0.13
Cu  0.9904  0.5003  0.8666  0.13
Cu  0.4904  0.8666  0.5003  0.13
Cu  0.0096  0.4997  0.1334  0.13
Cl  0.5193  0.8435  0.2600  0.04
Cl  0.9807  0.7400  0.1565  0.04
Cl  0.4807  0.1565  0.7400  0.04
Cl  0.0193  0.2600  0.8435  0.04
Cl  0.0613  0.2624  0.3719  0.04
Cl  0.4387  0.6281  0.7376  0.04
Cl  0.9387  0.7376  0.6281  0.04
Cl  0.5613  0.3719  0.2624  0.04

Calculated values
symmetry	C2/c, No. 15
mass density	3.31	g cm⁻³
crystal system	monoclinic
electronic total energy	-28.9	eV per formula unit
uncorrected formation energy	-1.198	eV/atom

Record 2
Compound: Cu2TeCl
Source: Alexandria via LeMat-Bulk
Functional: PBE
Structure: optimized geometry

Unit cell a=7.6132 b=7.6132 c=7.6129 alpha=151.14 beta=154.48 gamma=38.91
Sites, in units of the cell vectors:
Te  0.5108  0.5108  0.0000
Cu  0.0633  0.0633  0.0000
Cu  0.1813  0.6813  0.5000
Cl  0.7446  0.2446  0.5000

Calculated values
symmetry	Imm2, No. 44
mass density	5.26	g cm⁻³
energy above the lowest structure with this stoichiometry	208	meV/atom
crystal system	orthorhombic
electronic total energy	-13.3	eV per formula unit
uncorrected formation energy	-0.018	eV/atom

Number 1: total magnetic moment 2.018 μB/cell, volume 669 Å³ per cell. Number 2: total magnetic moment 0.000 μB/cell, volume 92 Å³ per cell.